No. 1
Below is a relaxed structure of BeSi2Br, with properties calculated at the GGA-PBE level.

a b c (Å): 3.071 5.862 9.563
angles (deg): 90.00 90.00 90.00
Space group Cmm2 (No. 35)
Asymmetric unit:
Be1 0.000 0.000 0.000 (multiplicity 2)
Si1 0.000 0.000 0.403 (multiplicity 2)
Si2 0.000 0.500 0.196 (multiplicity 2)
Br1 0.000 0.500 0.839 (multiplicity 2)

Computed properties:
- ΔE_f (raw) (kJ/mol of atoms) = 42.4


No. 2
Below is a relaxed structure of Tm2Si3, with properties calculated at the GGA-PBE level.

a b c (Å): 3.871 5.880 8.364
angles (deg): 90.00 90.00 90.00
Space group Immm (No. 71)
Asymmetric unit:
Tm1 0.000 0.000 0.221 (multiplicity 4)
Si1 0.000 0.294 0.500 (multiplicity 4)
Si2 0.000 0.500 0.000 (multiplicity 2)

Computed properties:
- ΔE_f (raw) (kJ/mol of atoms) = -64.5


No. 3
Below is a relaxed structure of NdDy2Ho5Er, with properties calculated at the GGA-PBE level.

a b c (Å): 8.957 8.957 14.506
angles (deg): 90.00 90.00 90.00
Space group I4/mcm (No. 140)
Asymmetric unit:
Nd1 0.000 0.000 0.250 (multiplicity 4)
Dy1 0.112 0.388 0.000 (multiplicity 8)
Ho1 0.000 0.000 0.000 (multiplicity 4)
Ho2 0.205 0.295 0.368 (multiplicity 16)
Er1 0.000 0.500 0.250 (multiplicity 4)

Computed properties:
- final energy (eV/atom) = -4.309


No. 4
Below is a relaxed structure of Be2ReAu, with properties calculated at the GGA-PBE level.

a b c (Å): 9.006 2.653 4.362
angles (deg): 90.00 107.07 90.00
Space group Cm (No. 8)
Asymmetric unit:
Be1 0.000 0.000 0.000 (multiplicity 2)
Be2 0.222 0.500 0.351 (multiplicity 2)
Re1 0.474 0.000 0.468 (multiplicity 2)
Au1 0.246 0.000 0.869 (multiplicity 2)

Computed properties:
- final energy (eV/atom) = -5.703


No. 5
Below is a relaxed structure of Tl2PbBr, with properties calculated at the GGA-PBE level.

a b c (Å): 3.669 5.355 6.482
angles (deg): 90.00 90.93 90.00
Space group P2/m (No. 10)
Asymmetric unit:
Tl1 0.051 0.000 0.253 (multiplicity 2)
Pb1 0.500 0.500 0.000 (multiplicity 1)
Br1 0.500 0.500 0.500 (multiplicity 1)

Computed properties:
- ΔE_f (raw) (kJ/mol of atoms) = -22.0


No. 6
Below is a relaxed structure of Pr5Nd5In2, with properties calculated at the GGA-PBE level.

a b c (Å): 18.490 3.713 13.243
angles (deg): 90.00 118.52 90.00
Space group C2/m (No. 12)
Asymmetric unit:
Pr1 0.000 0.000 0.000 (multiplicity 2)
Pr2 0.125 0.000 0.753 (multiplicity 4)
Pr3 0.156 0.000 0.480 (multiplicity 4)
Nd1 0.000 0.500 0.500 (multiplicity 2)
Nd2 0.169 0.500 0.008 (multiplicity 4)
Nd3 0.197 0.000 0.255 (multiplicity 4)
In1 0.029 0.500 0.241 (multiplicity 4)

Computed properties:
- final energy (eV/atom) = -4.565


No. 7
Below is a relaxed structure of Pm2Sm2Hg3, with properties calculated at the GGA-PBE level.

a b c (Å): 9.200 5.322 9.089
angles (deg): 90.00 109.68 90.00
Space group C2/m (No. 12)
Asymmetric unit:
Pm1 0.128 0.000 0.383 (multiplicity 4)
Sm1 0.120 0.500 0.862 (multiplicity 4)
Hg1 0.000 0.000 0.000 (multiplicity 2)
Hg2 0.250 0.000 0.753 (multiplicity 4)

Computed properties:
- final energy (eV/atom) = -3.156


No. 8
Below is a relaxed structure of HfPdBr3, with properties calculated at the GGA-PBE level.

a b c (Å): 5.112 5.112 5.112
angles (deg): 90.00 90.00 90.00
Space group Pm-3m (No. 221)
Asymmetric unit:
Hf1 0.000 0.000 0.000 (multiplicity 1)
Pd1 0.500 0.500 0.500 (multiplicity 1)
Br1 0.000 0.500 0.500 (multiplicity 3)

Computed properties:
- ΔE_f (raw) (kJ/mol of atoms) = 36.7


No. 9
Below is a relaxed structure of Ac5PuSe6, with properties calculated at the GGA-PBE level.

a b c (Å): 7.649 13.266 7.667
angles (deg): 90.00 109.48 90.00
Space group C2/m (No. 12)
Asymmetric unit:
Ac1 0.000 0.000 0.000 (multiplicity 2)
Ac2 0.000 0.166 0.500 (multiplicity 4)
Ac3 0.000 0.329 0.000 (multiplicity 4)
Pu1 0.000 0.500 0.500 (multiplicity 2)
Se1 0.239 0.500 0.253 (multiplicity 4)
Se2 0.241 0.339 0.741 (multiplicity 8)

Computed properties:
- ΔE_f (raw) (kJ/mol of atoms) = -173.9


No. 10
Below is a relaxed structure of K3AlCl, with properties calculated at the GGA-PBE level.

a b c (Å): 6.032 6.032 6.032
angles (deg): 90.00 90.00 90.00
Space group Pm-3m (No. 221)
Asymmetric unit:
K1 0.000 0.000 0.500 (multiplicity 3)
Al1 0.500 0.500 0.500 (multiplicity 1)
Cl1 0.000 0.000 0.000 (multiplicity 1)

Computed properties:
- ΔE_f (raw) (kJ/mol of atoms) = -43.1


No. 11
Below is a relaxed structure of GaNi4Pt, with properties calculated at the GGA-PBE level.

a b c (Å): 6.675 6.675 6.675
angles (deg): 90.00 90.00 90.00
Space group F-43m (No. 216)
Asymmetric unit:
Ga1 0.000 0.000 0.000 (multiplicity 4)
Ni1 0.125 0.125 0.375 (multiplicity 16)
Pt1 0.250 0.250 0.750 (multiplicity 4)

Computed properties:
- final energy (eV/atom) = -5.430


No. 12
Below is a relaxed structure of Si2TcRhN, with properties calculated at the GGA-PBE level.

a b c (Å): 4.800 4.800 3.609
angles (deg): 90.00 90.00 90.00
Space group P4/mmm (No. 123)
Asymmetric unit:
Si1 0.000 0.500 0.000 (multiplicity 2)
Tc1 0.000 0.000 0.500 (multiplicity 1)
Rh1 0.500 0.500 0.000 (multiplicity 1)
N1 0.500 0.500 0.500 (multiplicity 1)

Computed properties:
- ΔE_f (raw) (kJ/mol of atoms) = 106.9


What did we get for Fermi-level density of states? Answer: 0.81; 1.18; 11.59; 1.09; 1.29; 15.73; 9.38; 8.20; 16.56; 4.48; 6.27; 3.82 states/eV/f.u., in the order shown.